Record 1
The following is a DFT calculation (PBE-GGA) of an optimized crystal structure of Na3Be2S4.

Results
The value obtained for the density of states at the Fermi level is 0.146 states/eV per atom. The uncorrected formation energy comes out at -8.5 eV per formula unit. Its space group is P-1 (2).

```
Na3Be2S4
1.0
3.257 0.001 -0.909
-0.949 7.571 -3.410
0.433 -1.147 7.870
Na Be S
3 2 4
direct
0.116 0.578 0.232
0.884 0.422 0.768
0.000 0.000 0.000
0.675 0.962 0.352
0.325 0.038 0.648
0.519 0.747 0.038
0.223 0.144 0.446
0.481 0.253 0.962
0.777 0.856 0.554
```

=====

Record 2
The following is a DFT calculation (PBE-GGA) of an optimized crystal structure of NaBeS2.

Results
The value obtained for the density of states at the Fermi level is 0.167 states/eV per atom. The uncorrected formation energy comes out at -2.6 eV per formula unit. Its space group is I-42d (122).

```
NaBeS2
1.0
5.607 0.000 0.000
0.000 5.607 0.000
2.803 2.803 5.358
Na S Be
2 4 2
direct
0.000 0.000 0.000
0.750 0.250 0.500
0.515 0.125 0.250
0.235 0.625 0.250
0.375 0.485 0.750
0.875 0.765 0.750
0.500 0.500 0.000
0.250 0.750 0.500
```

=====

Record 3
The following is a DFT calculation (PBE-GGA) of an optimized crystal structure of NaBeS2.

Results
The value obtained for the density of states at the Fermi level is 0.862 states/eV per atom. The uncorrected formation energy comes out at -1.6 eV per formula unit. Its space group is R-3m (166).

```
NaBeS2
1.0
2.293 0.000 7.128
-1.147 1.986 7.128
-1.147 -1.986 7.128
Na S Be
1 2 1
direct
0.500 0.500 0.500
0.913 0.913 0.913
0.087 0.087 0.087
0.000 0.000 0.000
```

=====

> uncorrected formation energy of number 1 (Na3Be2S4)?

-8.5 eV per formula unit

=====

> What is the formula in the second record?

NaBeS2

=====

> Which value of density of states at the Fermi level does entry 1 give?

0.146 states/eV per atom